# 1
DFT (PBE) results for a geometry-optimized Sm2PtCl structure.

Structure (POSCAR):
```
Sm2PtCl
1.0
4.088 0.000 0.000
0.000 4.088 0.000
0.000 0.000 5.940
Sm Pt Cl
2 1 1
Direct
0.000 0.000 0.000 Sm
0.500 0.500 0.500 Sm
0.000 0.000 0.500 Pt
0.500 0.500 0.000 Cl
```

Values from the calculation:
Electronic total energy: -5.595 eV/atom
Space-group type: P4/mmm

# 2
DFT (PBE) results for a geometry-optimized KYAgS3 structure.

Structure (POSCAR):
```
KYAgS3
1.0
2.013 -7.221 0.000
2.013 7.221 0.000
0.000 0.000 10.478
K Y Ag S
2 2 2 6
Direct
0.248 0.752 0.750 K
0.752 0.248 0.250 K
0.500 0.500 0.000 Y
0.500 0.500 0.500 Y
0.034 0.966 0.250 Ag
0.966 0.034 0.750 Ag
0.126 0.874 0.051 S
0.126 0.874 0.449 S
0.428 0.572 0.250 S
0.572 0.428 0.750 S
0.874 0.126 0.551 S
0.874 0.126 0.949 S
```

Values from the calculation:
Electronic total energy: -4.940 eV/atom
Space-group type: Cmcm

# 3
DFT (PBE) results for a geometry-optimized Zr3Sb2Pt2 structure.

Structure (POSCAR):
```
Zr3Sb2Pt2
1.0
2.390 1.380 7.730
-2.390 1.380 7.730
0.000 -2.759 7.730
Zr Sb Pt
3 2 2
Direct
0.000 0.000 0.000 Zr
0.249 0.249 0.249 Zr
0.501 0.501 0.501 Zr
0.121 0.121 0.121 Sb
0.629 0.629 0.629 Sb
0.381 0.381 0.381 Pt
0.854 0.854 0.854 Pt
```

Values from the calculation:
Electronic total energy: -7.098 eV/atom
Space-group type: R3m

# 4
DFT (PBE) results for a geometry-optimized Ta2HgGe structure.

Structure (POSCAR):
```
Ta2HgGe
1.0
0.000 3.353 3.353
3.353 0.000 3.353
3.353 3.353 0.000
Ta Hg Ge
2 1 1
Direct
0.000 0.000 0.000 Ta
0.250 0.250 0.250 Ta
0.750 0.750 0.750 Hg
0.500 0.500 0.500 Ge
```

Values from the calculation:
Electronic total energy: -6.495 eV/atom
Space-group type: F-43m

# 5
DFT (PBE) results for a geometry-optimized Dy2TlCoNi structure.

Structure (POSCAR):
```
Dy2TlCoNi
1.0
3.748 0.000 0.000
0.000 1.926 7.107
0.000 -1.926 7.107
Dy Tl Co Ni
2 1 1 1
Direct
0.000 0.000 0.000 Dy
0.000 0.280 0.280 Dy
0.500 0.638 0.638 Tl
0.500 0.435 0.435 Co
0.500 0.842 0.842 Ni
```

Values from the calculation:
Electronic total energy: -5.212 eV/atom
Space-group type: Amm2

# 6
DFT (PBE) results for a geometry-optimized SrHf15O31 structure.

Structure (POSCAR):
```
SrHf15O31
1.0
7.265 0.000 0.000
0.337 7.259 0.000
0.023 0.006 10.186
Sr Hf O
1 15 31
Direct
0.000 0.000 0.000 Sr
0.225 0.291 0.248 Hf
0.228 0.287 0.750 Hf
0.253 0.756 0.733 Hf
0.254 0.771 0.258 Hf
0.440 0.514 0.005 Hf
0.448 0.498 0.498 Hf
0.469 0.989 0.504 Hf
0.498 0.004 0.011 Hf
0.730 0.791 0.756 Hf
0.736 0.789 0.258 Hf
0.747 0.271 0.753 Hf
0.751 0.270 0.251 Hf
0.946 0.004 0.502 Hf
0.958 0.484 0.503 Hf
0.958 0.490 0.002 Hf
0.000 0.245 0.378 O
0.192 0.537 0.125 O
0.193 0.525 0.622 O
0.203 0.912 0.443 O
0.210 0.536 0.375 O
0.214 0.553 0.874 O
0.299 0.034 0.169 O
0.312 0.032 0.687 O
0.351 0.224 0.934 O
0.378 0.235 0.428 O
0.460 0.786 0.880 O
0.489 0.741 0.125 O
0.490 0.729 0.625 O
0.491 0.348 0.175 O
0.492 0.354 0.678 O
0.501 0.752 0.379 O
0.680 0.422 0.928 O
0.696 0.024 0.628 O
0.698 0.419 0.428 O
0.701 0.048 0.873 O
0.703 0.028 0.137 O
0.709 0.044 0.381 O
0.801 0.539 0.180 O
0.811 0.538 0.678 O
0.864 0.727 0.927 O
0.872 0.739 0.445 O
0.984 0.233 0.625 O
0.986 0.258 0.134 O
0.994 0.281 0.867 O
0.996 0.862 0.695 O
0.998 0.845 0.214 O
```

Values from the calculation:
Electronic total energy: -9.945 eV/atom
Space-group type: P1

Calculated density in Mg/m³, matching the order above: 8.9, 3.6, 9.9, 14.0, 10.5, 10.1